Below is crystalline AcPmYHo at its relaxed geometry, with properties calculated at the PBE level.

Results
The total magnetization is 0.00 μB per cell. As for the offset from the most stable computed form: 10.8 kJ per mole of atoms. The value obtained for the energy relative to the elements is 0.220 eV per atom. The final energy comes out at -19.0 eV/f.u.

Unit cell a=3.5419 b=7.0370 c=5.7724 alpha=90.01 beta=90.00 gamma=90.00
Fractional coordinates of all 4 atoms:
1 Ac 0.0000 0.4504 0.5166
2 Pm 0.5000 0.7142 0.0164
3 Y 0.0000 0.1779 0.0162
4 Ho 0.0000 0.9379 0.5161